No. 1
Here is crystalline TiNiHgS3 at its relaxed geometry from the Alexandria database. Energies are from GGA-PBE.

POSCAR file:
```
TiNiHgS3
1.0
8.4008 0.0000 0.0000
0.0000 3.4101 0.0000
-2.7234 0.0000 9.2001
Ti Ni Hg S
2 2 2 6
Direct
0.0330 0.2500 0.1668 Ti
0.9670 0.7500 0.8332 Ti
0.0429 0.7500 0.4126 Ni
0.9571 0.2500 0.5874 Ni
0.4711 0.2500 0.8188 Hg
0.5289 0.7500 0.1812 Hg
0.1312 0.7500 0.6525 S
0.1615 0.2500 0.9672 S
0.2258 0.7500 0.2876 S
0.7742 0.2500 0.7124 S
0.8385 0.7500 0.0328 S
0.8688 0.2500 0.3475 S
```

Computed properties:
The formation energy from raw total energies is -713 meV per atom. For the total energy, the calculation gives -61.3 eV/cell. As for the spin magnetization: 0.0 μB per formula unit. As for the volume: 264 Å³ per cell. Its symmetry is No. 11.

No. 2
Here is crystalline K3NdNp3S8 at its relaxed geometry from the Alexandria database. Energies are from GGA-PBE.

POSCAR file:
```
K3NdNp3S8
1.0
4.0825 2.3570 7.4232
-4.0825 2.3570 7.4232
0.0000 -4.7140 7.4232
K Nd Np S
3 1 3 8
Direct
0.0000 0.5000 0.5000 K
0.5000 0.0000 0.5000 K
0.5000 0.5000 0.0000 K
0.5000 0.5000 0.5000 Nd
0.0000 0.0000 0.5000 Np
0.0000 0.5000 0.0000 Np
0.5000 0.0000 0.0000 Np
0.2228 0.7377 0.7377 S
0.2323 0.2323 0.2323 S
0.2623 0.2623 0.7772 S
0.2623 0.7772 0.2623 S
0.7377 0.2228 0.7377 S
0.7377 0.7377 0.2228 S
0.7677 0.7677 0.7677 S
0.7772 0.2623 0.2623 S
```

Computed properties:
The formation energy from raw total energies is -1506 meV per atom. For the total energy, the calculation gives -102.5 eV/cell. As for the spin magnetization: 11.0 μB per formula unit. As for the volume: 429 Å³ per cell. Its symmetry is No. 166.

No. 3
Here is crystalline CaNiIr2 at its relaxed geometry from the Alexandria database. Energies are from GGA-PBE.

POSCAR file:
```
CaNiIr2
1.0
2.8434 0.0000 0.0000
0.0000 4.6772 0.0000
0.0000 0.0000 4.7197
Ca Ni Ir
1 1 2
Direct
0.0000 0.0000 0.0000 Ca
0.5000 0.5000 0.0000 Ni
0.0000 0.5000 0.5000 Ir
0.5000 0.0000 0.5000 Ir
```

Computed properties:
The calculation puts the energy above the most stable polymorph in this dataset at 99.6 meV per atom. For the total energy, the calculation gives -25.0 eV/cell. As for the spin magnetization: 0.0 μB per formula unit. As for the volume: 63 Å³ per cell. Its symmetry is No. 47.

No. 4
Here is crystalline Sc8GeTe4P3 at its relaxed geometry from the Alexandria database. Energies are from GGA-PBE.

POSCAR file:
```
Sc8GeTe4P3
1.0
3.9319 2.2701 6.6634
-3.9319 2.2701 6.6634
0.0000 -4.5402 6.6634
Sc Ge Te P
8 1 4 3
Direct
0.2329 0.7387 0.7387 Sc
0.2353 0.2353 0.2353 Sc
0.2613 0.2613 0.7671 Sc
0.2613 0.7671 0.2613 Sc
0.7387 0.2329 0.7387 Sc
0.7387 0.7387 0.2329 Sc
0.7647 0.7647 0.7647 Sc
0.7671 0.2613 0.2613 Sc
0.5000 0.5000 0.5000 Ge
0.0000 0.0000 0.0000 Te
0.0000 0.5000 0.5000 Te
0.5000 0.0000 0.5000 Te
0.5000 0.5000 0.0000 Te
0.0000 0.0000 0.5000 P
0.0000 0.5000 0.0000 P
0.5000 0.0000 0.0000 P
```

Computed properties:
The formation energy from raw total energies is -1299 meV per atom. For the total energy, the calculation gives -104.9 eV/cell. As for the spin magnetization: 0.0 μB per formula unit. As for the volume: 357 Å³ per cell. Its symmetry is No. 166.